# 1
This record from Alexandria describes crystalline SrGa2Fe at its relaxed geometry. The functional is GGA-PBE.

abc: 4.856 4.856 4.856
angles: 60.00 60.00 60.00
Each line ends with the local moment (μB).
Atoms (fractional coordinates):
Sr1 0.500 0.500 0.500  -0.04
Fe1 0.000 0.000 0.000  2.75
Ga1 0.250 0.250 0.250  -0.05
Ga2 0.750 0.750 0.750  -0.05

Values from the calculation:
DOS at the Fermi energy ... 1.5878 states/eV/atom
Calculated total energy ... -15.53 eV/f.u.

=====

# 2
This record from Alexandria describes crystalline V3BOs at its relaxed geometry. The functional is GGA-PBE.

abc: 4.001 4.001 4.001
angles: 90.00 90.00 90.00
Each line ends with the local moment (μB).
Atoms (fractional coordinates):
B1 0.000 0.000 0.000  -0.01
Os1 0.500 0.500 0.500  -0.03
V1 0.000 0.500 0.000  0.14
V2 0.000 0.000 0.500  0.14
V3 0.500 0.000 0.000  0.14

Values from the calculation:
DOS at the Fermi energy ... 1.6765 states/eV/atom
ΔE to the lowest computed polymorph ... 0 meV per atom

=====

# 3
This record from Alexandria describes crystalline TaN3Cl at its relaxed geometry. The functional is GGA-PBE.

abc: 3.659 3.659 3.659
angles: 90.00 90.00 90.00
Atoms (fractional coordinates):
N1 0.000 0.500 0.000
N2 0.000 0.000 0.500
N3 0.500 0.000 0.000
Cl1 0.000 0.000 0.000
Ta1 0.500 0.500 0.500

Values from the calculation:
DOS at the Fermi energy ... 0.5146 states/eV/atom
E_form (uncorrected) ... 2.043 eV/atom

=====

# 4
This record from Alexandria describes crystalline Ho3Tl4In at its relaxed geometry. The functional is GGA-PBE.

abc: 3.414 10.176 8.389
angles: 127.34 101.74 90.00
Atoms (fractional coordinates):
Ho1 0.215 0.215 0.430
Ho2 0.785 0.785 0.570
Ho3 0.000 0.500 0.000
Tl1 0.370 0.134 0.740
Tl2 0.630 0.866 0.260
Tl3 0.630 0.393 0.260
Tl4 0.370 0.607 0.740
In1 0.500 0.000 0.000

Values from the calculation:
DOS at the Fermi energy ... 0.8753 states/eV/atom
Calculated total energy ... -27.28 eV/f.u.

=====

# 5
This record from Alexandria describes crystalline SrYSbI2 at its relaxed geometry. The functional is GGA-PBE.

abc: 5.922 5.922 6.531
angles: 90.00 90.00 90.00
Each line ends with the local moment (μB).
Atoms (fractional coordinates):
I1 0.000 0.500 0.000  0.01
I2 0.500 0.000 0.000  0.01
Sb1 0.000 0.000 0.500  0.02
Y1 0.500 0.500 0.500  -0.14
Sr1 0.000 0.000 0.000  0.00

Values from the calculation:
DOS at the Fermi energy ... 0.5344 states/eV/atom
E_form (uncorrected) ... -0.224 eV/atom
ΔE to the lowest computed polymorph ... 647 meV per atom

=====

# 6
This record from Alexandria describes crystalline MoAs at its relaxed geometry. The functional is GGA-PBE.

abc: 4.746 4.746 6.825
angles: 76.80 76.80 40.25
Atoms (fractional coordinates):
Mo1 0.318 0.318 0.333
Mo2 0.994 0.994 0.630
Mo3 0.251 0.251 0.930
As1 0.947 0.947 0.028
As2 0.708 0.708 0.653
As3 0.616 0.616 0.260

Values from the calculation:
DOS at the Fermi energy ... 0.6888 states/eV/atom
Calculated total energy ... -15.70 eV/f.u.

=====

# 7
This record from Alexandria describes crystalline Nb3InH at its relaxed geometry. The functional is GGA-PBE.

abc: 10.573 7.611 7.611
angles: 88.56 125.93 54.07
Atoms (fractional coordinates):
H1 0.750 0.053 0.553
H2 0.250 0.947 0.447
H3 0.750 0.267 0.767
H4 0.250 0.733 0.233
Nb1 0.910 0.367 0.935
Nb2 0.590 0.435 0.867
Nb3 0.090 0.633 0.065
Nb4 0.410 0.565 0.133
Nb5 0.439 0.799 0.414
Nb6 0.061 0.914 0.299
Nb7 0.561 0.201 0.586
Nb8 0.939 0.086 0.701
Nb9 0.209 0.548 0.704
Nb10 0.291 0.204 0.048
Nb11 0.791 0.452 0.296
Nb12 0.709 0.796 0.952
In1 0.201 0.287 0.435
In2 0.299 0.935 0.787
In3 0.799 0.713 0.565
In4 0.701 0.065 0.213

Values from the calculation:
DOS at the Fermi energy ... 0.5902 states/eV/atom
Calculated total energy ... -35.05 eV/f.u.

=====

# 8
This record from Alexandria describes crystalline Ga2ReNiC at its relaxed geometry. The functional is GGA-PBE.

abc: 4.651 3.428 4.651
angles: 90.00 90.00 90.00
Each line ends with the local moment (μB).
Atoms (fractional coordinates):
Re1 0.500 0.500 0.500  1.02
C1 0.000 0.500 0.000  -0.01
Ga1 0.000 0.000 0.500  -0.02
Ga2 0.500 0.000 0.000  -0.02
Ni1 0.000 0.000 0.000  0.02

Values from the calculation:
DOS at the Fermi energy ... 0.8312 states/eV/atom
Calculated total energy ... -27.57 eV/f.u.

=====

DOS at the Fermi energy of number 8 (Ga2ReNiC)?
0.8312 states/eV/atom

=====

Look up the DOS at the Fermi energy of the fourth one.
0.8753 states/eV/atom

=====

The lowest DOS at the Fermi energy belongs to which entry?
TaN3Cl

=====

Number 2 is which compound?
V3BOs